# Sc12GaSn6

A relaxed Sc12GaSn6 crystal (PBE, Alexandria).

The calculation puts the calculated formation energy at -0.290 eV per atom. The uncorrected energy is -0.2099 Ha/atom.

Cell lengths 8.2175, 8.2175, 8.2175 Å; angles 100.12, 100.12, 100.12 degrees
With the nearest neighbours (Å) after each atom.
Positions (direct):
Sc (0.8069, 0.5754, 0.4381)  4 Sn 2.88-3.04
Sc (0.4381, 0.8069, 0.5754)  4 Sn 2.88-3.04
Sc (0.5754, 0.4381, 0.8069)  4 Sn 2.88-3.04
Sc (0.1931, 0.4246, 0.5619)  4 Sn 2.88-3.04
Sc (0.5619, 0.1931, 0.4246)  4 Sn 2.88-3.04
Sc (0.4246, 0.5619, 0.1931)  4 Sn 2.88-3.04
Sc (0.0520, 0.9584, 0.3192)  1 Ga 2.67, 2 Sn 2.90-2.91
Sc (0.0416, 0.6808, 0.9480)  1 Ga 2.67, 2 Sn 2.90-2.91
Sc (0.6808, 0.9480, 0.0416)  1 Ga 2.67, 2 Sn 2.90-2.91
Sc (0.9480, 0.0416, 0.6808)  1 Ga 2.67, 2 Sn 2.90-2.91
Sc (0.9584, 0.3192, 0.0520)  1 Ga 2.67, 2 Sn 2.90-2.91
Sc (0.3192, 0.0520, 0.9584)  1 Ga 2.67, 2 Sn 2.90-2.91
Ga (0.0000, 0.0000, 0.0000)  6 Sc 2.67
Sn (0.6933, 0.8757, 0.3776)  7 Sc 2.88-3.05
Sn (0.6224, 0.3067, 0.1243)  7 Sc 2.88-3.05
Sn (0.1243, 0.6224, 0.3067)  7 Sc 2.88-3.05
Sn (0.3067, 0.1243, 0.6224)  7 Sc 2.88-3.05
Sn (0.3776, 0.6933, 0.8757)  7 Sc 2.88-3.05
Sn (0.8757, 0.3776, 0.6933)  7 Sc 2.88-3.05

# ScGa2Sn2

A relaxed ScGa2Sn2 crystal (PBE, Alexandria).

The energy above the most stable polymorph in this dataset is 0.126 eV per atom. The calculation puts the calculated formation energy at -0.098 eV per atom. The uncorrected energy is -0.1535 Ha/atom.

Cell lengths 3.8955, 3.8955, 8.2054 Å; angles 76.27, 76.27, 90.00 degrees
With the nearest neighbours (Å) after each atom.
Positions (direct):
Sc (0.0000, 0.0000, 0.0000)  8 Sn 3.14
Sn (0.4023, 0.4023, 0.1954)  1 Sn 3.02, 4 Ga 3.06, 4 Sc 3.14
Sn (0.5977, 0.5977, 0.8046)  1 Sn 3.02, 4 Ga 3.06, 4 Sc 3.14
Ga (0.7500, 0.2500, 0.5000)  4 Ga 2.75, 4 Sn 3.06
Ga (0.2500, 0.7500, 0.5000)  4 Ga 2.75, 4 Sn 3.06

# Sc6GaSn

A relaxed Sc6GaSn crystal (PBE, Alexandria).

The calculation puts the calculated formation energy at -0.109 eV per atom. The uncorrected energy is -0.2108 Ha/atom.

Cell lengths 5.1200, 5.1200, 8.4598 Å; angles 74.26, 74.26, 74.96 degrees
With the nearest neighbours (Å) after each atom.
Positions (direct):
Sc (0.0767, 0.5767, 0.2907)  1 Ga 2.84, 2 Sn 3.04-3.07, 3 Sc 3.12-3.16
Sc (0.5767, 0.0767, 0.2907)  1 Ga 2.84, 2 Sn 3.04-3.07, 3 Sc 3.12-3.16
Sc (0.4233, 0.9233, 0.7093)  1 Ga 2.84, 2 Sn 3.04-3.07, 3 Sc 3.12-3.16
Sc (0.9233, 0.4233, 0.7093)  1 Ga 2.84, 2 Sn 3.04-3.07, 3 Sc 3.12-3.16
Sc (0.3451, 0.3451, 0.9505)  1 Ga 2.69, 1 Sc 2.91
Sc (0.6549, 0.6549, 0.0495)  1 Ga 2.69, 1 Sc 2.91
Ga (0.0000, 0.0000, 0.0000)  6 Sc 2.69-2.84
Sn (0.5000, 0.5000, 0.5000)  8 Sc 3.04-3.07

# Sc8Ga2Sn

A relaxed Sc8Ga2Sn crystal (PBE, Alexandria).

The calculation puts the calculated formation energy at -0.382 eV per atom. The uncorrected energy is -0.2168 Ha/atom.

Cell lengths 4.5700, 7.4557, 8.0932 Å; angles 113.10, 106.40, 90.00 degrees
With the nearest neighbours (Å) after each atom.
Positions (direct):
Sc (0.3981, 0.5408, 0.7962)  2 Ga 2.87, 1 Sn 3.13, 4 Sc 3.15-3.21
Sc (0.6813, 0.9379, 0.3626)  1 Ga 2.80, 4 Sc 3.00-3.05, 1 Sn 3.03
Sc (0.8390, 0.7713, 0.6779)  3 Ga 2.90-2.94, 3 Sc 3.17-3.21
Sc (0.9524, 0.2691, 0.9047)  1 Ga 2.84, 5 Sc 3.05-3.15
Sc (0.1610, 0.2287, 0.3221)  3 Ga 2.90-2.94, 3 Sc 3.17-3.21
Sc (0.3187, 0.0621, 0.6374)  1 Ga 2.80, 4 Sc 3.00-3.05, 1 Sn 3.03
Sc (0.6019, 0.4592, 0.2038)  2 Ga 2.87, 1 Sn 3.13, 4 Sc 3.15-3.21
Sc (0.0476, 0.7309, 0.0953)  1 Ga 2.84, 5 Sc 3.05-3.15
Ga (0.7873, 0.3448, 0.5746)  7 Sc 2.80-2.94
Ga (0.2127, 0.6552, 0.4254)  7 Sc 2.80-2.94
Sn (0.5000, 0.0000, 0.0000)  12 Sc 3.03-3.32

# ScGaTcSn

A relaxed ScGaTcSn crystal (PBE, Alexandria).

The calculation puts the calculated formation energy at -0.256 eV per atom. The uncorrected energy is -0.2274 Ha/atom.

Cell lengths 4.6393, 4.6393, 4.6393 Å; angles 60.00, 60.00, 60.00 degrees
With the nearest neighbours (Å) after each atom.
Positions (direct):
Sc (0.2500, 0.2500, 0.2500)  4 Sn 2.84, 4 Ga 2.84
Sn (0.5000, 0.5000, 0.5000)  4 Tc 2.84, 4 Sc 2.84
Ga (0.0000, 0.0000, 0.0000)  4 Tc 2.84, 4 Sc 2.84
Tc (0.7500, 0.7500, 0.7500)  4 Sn 2.84, 4 Ga 2.84

# YScGaSn

A relaxed YScGaSn crystal (PBE, Alexandria).

The calculation puts the calculated formation energy at -0.512 eV per atom. The uncorrected energy is -0.2009 Ha/atom.

Cell lengths 5.0894, 5.0894, 5.0894 Å; angles 60.00, 60.00, 60.00 degrees
With the nearest neighbours (Å) after each atom.
Positions (direct):
Y (0.7500, 0.7500, 0.7500)  4 Ga 3.12, 4 Sn 3.12
Sc (0.2500, 0.2500, 0.2500)  4 Sn 3.12, 4 Ga 3.12
Sn (0.0000, 0.0000, 0.0000)  4 Y 3.12, 4 Sc 3.12
Ga (0.5000, 0.5000, 0.5000)  4 Sc 3.12, 4 Y 3.12

# ScZnGaSn2

A relaxed ScZnGaSn2 crystal (PBE, Alexandria).

The calculation puts the calculated formation energy at 0.378 eV per atom. The uncorrected energy is -0.1231 Ha/atom.

Cell lengths 5.2227, 5.1779, 5.2227 Å; angles 90.00, 90.00, 90.00 degrees
With the nearest neighbours (Å) after each atom.
Positions (direct):
Sc (0.0000, 0.5000, 0.0000)  2 Ga 2.59
Zn (0.5000, 0.5000, 0.5000)  8 Sn 3.68, 4 Sc 3.69
Sn (0.0000, 0.0000, 0.5000)  2 Ga 2.61
Sn (0.5000, 0.0000, 0.0000)  2 Ga 2.61
Ga (0.0000, 0.0000, 0.0000)  2 Sc 2.59, 4 Sn 2.61

# SrSc3Ga

A relaxed SrSc3Ga crystal (PBE, Alexandria).

The energy above the most stable polymorph in this dataset is 1.227 eV per atom. The calculation puts the calculated formation energy at 1.320 eV per atom. The uncorrected energy is -0.1257 Ha/atom.

Cell lengths 5.2136, 5.2136, 5.2136 Å; angles 90.00, 90.00, 90.00 degrees
With the nearest neighbours (Å) after each atom.
Positions (direct):
Sc (0.0000, 0.5000, 0.0000)  2 Sr 2.61
Sc (0.0000, 0.0000, 0.5000)  2 Sr 2.61
Sc (0.5000, 0.0000, 0.0000)  2 Sr 2.61
Sr (0.0000, 0.0000, 0.0000)  6 Sc 2.61
Ga (0.5000, 0.5000, 0.5000)  12 Sc 3.69